Al3Fe2Si | PBE-GGA | optimized geometry

Computed properties:
symmetry: Fd-3m (227)

Cell lengths 7.5991, 7.5991, 7.5991 Å; angles 60.00, 60.00, 60.00 degrees
With the nearest neighbours (Å) after each atom.
Fractional positions:
1 Fe 0.8400 0.8400 0.4801  3 Si 2.37, 6 Al 2.47-2.63
2 Fe 0.7699 0.4100 0.4100  3 Si 2.37, 6 Al 2.47-2.63
3 Fe 0.8400 0.4801 0.8400  3 Si 2.37, 6 Al 2.47-2.63
4 Fe 0.4100 0.4100 0.4100  3 Si 2.37, 6 Al 2.47-2.63
5 Fe 0.4801 0.8400 0.8400  3 Si 2.37, 6 Al 2.47-2.63
6 Fe 0.4100 0.7699 0.4100  3 Si 2.37, 6 Al 2.47-2.63
7 Fe 0.4100 0.4100 0.7699  3 Si 2.37, 6 Al 2.47-2.63
8 Fe 0.8400 0.8400 0.8400  3 Si 2.37, 6 Al 2.47-2.63
9 Al 0.7988 0.2012 0.7988  4 Fe 2.47-2.63, 2 Si 2.66
10 Al 0.0488 0.4512 0.0488  4 Fe 2.47-2.63, 2 Si 2.66
11 Al 0.2012 0.7988 0.2012  4 Fe 2.47-2.63, 2 Si 2.66
12 Al 0.7988 0.7988 0.2012  4 Fe 2.47-2.63, 2 Si 2.66
13 Al 0.4512 0.4512 0.0488  4 Fe 2.47-2.63, 2 Si 2.66
14 Al 0.0488 0.0488 0.4512  4 Fe 2.47-2.63, 2 Si 2.66
15 Al 0.2012 0.2012 0.7988  4 Fe 2.47-2.63, 2 Si 2.66
16 Al 0.7988 0.2012 0.2012  4 Fe 2.47-2.63, 2 Si 2.66
17 Al 0.4512 0.0488 0.0488  4 Fe 2.47-2.63, 2 Si 2.66
18 Al 0.4512 0.0488 0.4512  4 Fe 2.47-2.63, 2 Si 2.66
19 Al 0.2012 0.7988 0.7988  4 Fe 2.47-2.63, 2 Si 2.66
20 Al 0.0488 0.4512 0.4512  4 Fe 2.47-2.63, 2 Si 2.66
21 Si 0.6250 0.1250 0.6250  6 Fe 2.37
22 Si 0.6250 0.6250 0.1250  6 Fe 2.37
23 Si 0.6250 0.6250 0.6250  6 Fe 2.37
24 Si 0.1250 0.6250 0.6250  6 Fe 2.37

---

AlFeSi | PBE-GGA | optimized geometry

Computed properties:
symmetry: P3m1 (156)

Cell lengths 2.7696, 2.7696, 5.8198 Å; angles 90.00, 90.00, 120.00 degrees
With the nearest neighbours (Å) after each atom.
Fractional positions:
1 Fe 0.3333 0.6667 0.3460  3 Si 2.31, 3 Al 2.47
2 Al 0.0000 0.0000 0.0216  3 Fe 2.47, 6 Al 2.77
3 Si 0.6667 0.3333 0.6325  3 Fe 2.31

---

Al2Fe3Si3 | PBE-GGA | optimized geometry

Computed properties:
symmetry: P-1 (2)
E above lowest polymorph: 0.0000 eV per atom

Cell lengths 7.5456, 4.6001, 6.3239 Å; angles 79.43, 71.59, 71.10 degrees
With the nearest neighbours (Å) after each atom.
Fractional positions:
1 Si 0.1135 0.7064 0.9760  6 Fe 2.33-2.50, 1 Al 2.48
2 Si 0.3478 0.1951 0.5872  5 Fe 2.30-2.52, 1 Si 2.48
3 Si 0.8865 0.2936 0.0240  6 Fe 2.33-2.50, 1 Al 2.48
4 Si 0.6522 0.8049 0.4128  5 Fe 2.30-2.52, 1 Si 2.48
5 Si 0.4671 0.2571 0.0424  3 Fe 2.22-2.38, 2 Si 2.38
6 Si 0.5329 0.7429 0.9576  3 Fe 2.22-2.38, 2 Si 2.38
7 Al 0.0525 0.3620 0.3250  4 Fe 2.40-2.44, 1 Si 2.48, 2 Al 2.53-2.67
8 Al 0.7274 0.2208 0.6448  5 Fe 2.43-2.70, 1 Si 2.65, 1 Al 2.67
9 Al 0.9475 0.6380 0.6750  4 Fe 2.40-2.44, 1 Si 2.48, 2 Al 2.53-2.67
10 Al 0.2726 0.7792 0.3552  5 Fe 2.43-2.70, 1 Si 2.65, 1 Al 2.67
11 Fe 0.7674 0.8681 0.0281  5 Si 2.22-2.40, 1 Al 2.44
12 Fe 0.5845 0.3756 0.2924  6 Si 2.26-2.52, 1 Al 2.45
13 Fe 0.9435 0.9214 0.3179  3 Si 2.30-2.35, 5 Al 2.40-2.51
14 Fe 0.0565 0.0786 0.6821  3 Si 2.30-2.35, 5 Al 2.40-2.51
15 Fe 0.4155 0.6244 0.7076  6 Si 2.26-2.52, 1 Al 2.45
16 Fe 0.2326 0.1319 0.9719  5 Si 2.22-2.40, 1 Al 2.44

---

Al5Fe6Si | PBE-GGA | optimized geometry

Computed properties:
symmetry: Cmmm (65)

Cell lengths 4.0299, 5.7079, 6.3760 Å; angles 90.00, 71.58, 90.00 degrees
With the nearest neighbours (Å) after each atom.
Fractional positions:
1 Al 0.3274 0.0000 0.3452  8 Fe 2.46-2.48, 2 Al 2.75
2 Al 0.0000 0.5000 0.0000  8 Fe 2.42-2.52
3 Al 0.6726 0.0000 0.6548  8 Fe 2.46-2.48, 2 Al 2.75
4 Al 0.3311 0.5000 0.3378  8 Fe 2.49-2.54
5 Al 0.6689 0.5000 0.6622  8 Fe 2.49-2.54
6 Fe 0.8397 0.7548 0.3206  1 Si 2.39, 7 Al 2.42-2.53
7 Fe 0.1603 0.7548 0.6794  1 Si 2.39, 7 Al 2.42-2.53
8 Fe 0.5000 0.2345 0.0000  2 Si 2.42, 6 Al 2.48-2.54, 1 Fe 2.68
9 Fe 0.1603 0.2452 0.6794  1 Si 2.39, 7 Al 2.42-2.53
10 Fe 0.5000 0.7655 0.0000  2 Si 2.42, 6 Al 2.48-2.54, 1 Fe 2.68
11 Fe 0.8397 0.2452 0.3206  1 Si 2.39, 7 Al 2.42-2.53
12 Si 0.0000 0.0000 0.0000  8 Fe 2.39-2.42

---

Energy relative to the elements, uncorrected (meV per atom)
-405, -159, -482, -379
Total DFT energy (no corrections) (eV per atom)
-6.001, -6.035, -6.625, -6.621
V (A^3/atom)
12.93, 12.89, 12.26, 11.60